Record 1
# Ca2ScZn2Pt5, optimized geometry, DFT PBE
# Calculated formation energy (eV/atom): -0.854
# Density (g/cm3): 11.2
data_Ca2ScZn2Pt5
_cell_length_a 3.765
_cell_length_b 9.827
_cell_length_c 9.827
_cell_angle_alpha 90.00
_cell_angle_beta 90.00
_cell_angle_gamma 90.00
_space_group_name_H-M_alt 'P 1'
_space_group_IT_number 1
loop_
_space_group_symop_operation_xyz
'x,y,z'
loop_
_atom_site_label
_atom_site_type_symbol
_atom_site_fract_x
_atom_site_fract_y
_atom_site_fract_z
Pt1 Pt 0.500 0.296 0.566
Ca1 Ca 0.000 0.826 0.674
Sc1 Sc 0.000 0.000 0.000
Ca2 Ca 0.000 0.326 0.826
Ca3 Ca 0.000 0.674 0.174
Pt2 Pt 0.500 0.434 0.296
Pt3 Pt 0.500 0.500 0.000
Sc2 Sc 0.000 0.500 0.500
Pt4 Pt 0.500 0.934 0.204
Ca4 Ca 0.000 0.174 0.326
Pt5 Pt 0.500 0.204 0.066
Pt6 Pt 0.500 0.704 0.434
Zn1 Zn 0.000 0.624 0.876
Zn2 Zn 0.000 0.376 0.124
Pt7 Pt 0.500 0.000 0.500
Pt8 Pt 0.500 0.066 0.796
Pt9 Pt 0.500 0.796 0.934
Zn3 Zn 0.000 0.876 0.376
Zn4 Zn 0.000 0.124 0.624
Pt10 Pt 0.500 0.566 0.704

Record 2
# NaIn6Bi4, optimized geometry, DFT PBE
# Calculated formation energy (eV/atom): 0.000
# Offset from the most stable computed form (eV/f.u.): 0.00
# Density (g/cm3): 7.5
data_NaIn6Bi4
_cell_length_a 6.505
_cell_length_b 6.505
_cell_length_c 8.982
_cell_angle_alpha 107.92
_cell_angle_beta 107.90
_cell_angle_gamma 88.48
_space_group_name_H-M_alt 'P 1'
_space_group_IT_number 1
loop_
_space_group_symop_operation_xyz
'x,y,z'
loop_
_atom_site_label
_atom_site_type_symbol
_atom_site_fract_x
_atom_site_fract_y
_atom_site_fract_z
Bi1 Bi 0.616 0.616 0.726
In1 In 0.622 0.085 0.651
Bi2 Bi 0.828 0.396 0.267
In2 In 0.996 0.506 0.003
Na1 Na 0.001 0.001 0.000
In3 In 0.506 0.996 0.003
Bi3 Bi 0.159 0.158 0.736
Bi4 Bi 0.395 0.828 0.267
In4 In 0.359 0.360 0.346
In5 In 0.932 0.932 0.350
In6 In 0.085 0.622 0.651

Record 3
# MnIn2SeS, optimized geometry, DFT PBE
# E (eV per cell): -18.5
# Density (g/cm3): 4.9
data_MnIn2SeS
_cell_length_a 5.406
_cell_length_b 4.632
_cell_length_c 5.406
_cell_angle_alpha 90.00
_cell_angle_beta 90.00
_cell_angle_gamma 90.00
_space_group_name_H-M_alt 'P 1'
_space_group_IT_number 1
loop_
_space_group_symop_operation_xyz
'x,y,z'
loop_
_atom_site_label
_atom_site_type_symbol
_atom_site_fract_x
_atom_site_fract_y
_atom_site_fract_z
In1 In 0.000 0.000 0.500
S1 S 0.500 0.500 0.500
Mn1 Mn 0.000 0.500 0.000
In2 In 0.500 0.000 0.000
Se1 Se 0.000 0.000 0.000

Record 4
# DyLuRhAu, optimized geometry, DFT PBE
# Calculated formation energy (eV/atom): -0.869
# Density (g/cm3): 12.5
data_DyLuRhAu
_cell_length_a 4.925
_cell_length_b 4.925
_cell_length_c 4.925
_cell_angle_alpha 60.00
_cell_angle_beta 60.00
_cell_angle_gamma 60.00
_space_group_name_H-M_alt 'P 1'
_space_group_IT_number 1
loop_
_space_group_symop_operation_xyz
'x,y,z'
loop_
_atom_site_label
_atom_site_type_symbol
_atom_site_fract_x
_atom_site_fract_y
_atom_site_fract_z
Dy1 Dy 0.250 0.250 0.250
Lu1 Lu 0.750 0.750 0.750
Au1 Au 0.000 0.000 0.000
Rh1 Rh 0.500 0.500 0.500

Record 5
# ZrScTc, optimized geometry, DFT PBE
# Calculated formation energy (eV/atom): -0.228
# Offset from the most stable computed form (eV/f.u.): 0.00
# Density (g/cm3): 6.5
data_ZrScTc
_cell_length_a 6.637
_cell_length_b 3.326
_cell_length_c 11.405
_cell_angle_alpha 90.00
_cell_angle_beta 106.94
_cell_angle_gamma 90.00
_space_group_name_H-M_alt 'P 1'
_space_group_IT_number 1
loop_
_space_group_symop_operation_xyz
'x,y,z'
loop_
_atom_site_label
_atom_site_type_symbol
_atom_site_fract_x
_atom_site_fract_y
_atom_site_fract_z
Tc1 Tc 0.500 0.500 0.500
Sc1 Sc 0.181 0.000 0.358
Tc2 Tc 0.500 0.000 0.000
Zr1 Zr 0.321 0.500 0.138
Zr2 Zr 0.679 0.000 0.362
Zr3 Zr 0.321 0.000 0.638
Sc2 Sc 0.181 0.500 0.858
Sc3 Sc 0.819 0.000 0.642
Sc4 Sc 0.819 0.500 0.142
Tc3 Tc 0.000 0.000 0.000
Tc4 Tc 0.000 0.500 0.500
Zr4 Zr 0.679 0.500 0.862

Record 6
# Li2RhPbO4, optimized geometry, DFT PBE
# E (eV per cell): -43.9
# Density (g/cm3): 6.8
data_Li2RhPbO4
_cell_length_a 3.177
_cell_length_b 5.940
_cell_length_c 5.561
_cell_angle_alpha 116.19
_cell_angle_beta 90.00
_cell_angle_gamma 90.00
_space_group_name_H-M_alt 'P 1'
_space_group_IT_number 1
loop_
_space_group_symop_operation_xyz
'x,y,z'
loop_
_atom_site_label
_atom_site_type_symbol
_atom_site_fract_x
_atom_site_fract_y
_atom_site_fract_z
O1 O 0.500 0.771 0.767
O2 O 0.000 0.818 0.242
O3 O 0.000 0.182 0.758
Rh1 Rh 0.000 0.000 0.000
Pb1 Pb 0.500 0.500 0.000
O4 O 0.500 0.229 0.233
Li1 Li 0.000 0.500 0.500
Li2 Li 0.500 0.000 0.500

density of number 3 (MnIn2SeS)? 4.9 g/cm3